Record 1
The following is a meta-GGA SCAN calculation of a crystal of Tl4Se relaxed with PBEsol, from Alexandria via LeMat-Bulk.

The space group is I4/m (No. 87) and the conventional cell measures 8.317, 8.317 and 3.967 Å, with angles of 90.00, 90.00 and 90.00 degrees. Symmetry generates all atoms from Tl at (0.088, 0.721, 0.000) and Se at (0.000, 0.000, 0.500).

The value obtained for the total moment is 0.0 μB/f.u. The calculated total energy is -620.72 eV per cell.

Record 2
The following is a meta-GGA SCAN calculation of a crystal of TlSe2 relaxed with PBEsol, from Alexandria via LeMat-Bulk.

The space group is Pnma (No. 62) and the conventional cell measures 5.513, 6.019 and 9.697 Å, with angles of 90.00, 90.00 and 90.00 degrees. Symmetry generates all atoms from Tl at (0.224, 0.250, 0.132), Se at (0.119, 0.250, 0.742) and Se at (0.218, 0.250, 0.505).

The value obtained for the total moment is 0.0 μB/f.u. The calculated total energy is -451.79 eV per cell. For the excess energy over the best structure of this formula in the dataset, the calculation gives 0.089 eV per formula unit.

Record 3
The following is a meta-GGA SCAN calculation of a crystal of Tl3Se relaxed with PBEsol, from Alexandria via LeMat-Bulk.

The space group is R-3m (No. 166, hexagonal axes) and the conventional cell measures 9.8446, 9.8446 and 3.9951 Å, with angles of 90.00, 90.00 and 120.00 degrees. Symmetry generates all atoms from Tl at (0.0000, 0.5000, 0.0000) and Se at (0.0000, 0.0000, 0.0000).

The value obtained for the total moment is 0.0 μB/f.u. The calculated total energy is -712.81 eV per cell.

Record 4
The following is a meta-GGA SCAN calculation of a crystal of Tl4Se3 relaxed with PBEsol, from Alexandria via LeMat-Bulk.

The space group is I4/mmm (No. 139) and the conventional cell measures 4.058, 4.058 and 25.738 Å, with angles of 90.00, 90.00 and 90.00 degrees. Symmetry generates all atoms from Tl at (0.000, 0.000, 0.061), Tl at (0.000, 0.000, 0.300), Se at (0.000, 0.000, 0.185) and Se at (0.000, 0.000, 0.500).

The value obtained for the total moment is 0.0 μB/f.u. The calculated total energy is -702.69 eV per cell.

Record 5
The following is a meta-GGA SCAN calculation of a crystal of TlSe2 relaxed with PBEsol, from Alexandria via LeMat-Bulk.

The space group is Pnnm (No. 58) and the conventional cell measures 5.580, 6.970 and 4.655 Å, with angles of 90.00, 90.00 and 90.00 degrees. Symmetry generates all atoms from Tl at (0.000, 0.000, 0.000) and Se at (0.172, 0.406, 0.000).

The value obtained for the total moment is 0.0 μB/f.u. The calculated total energy is -225.92 eV per cell. For the excess energy over the best structure of this formula in the dataset, the calculation gives 0.077 eV per formula unit.

Record 6
The following is a meta-GGA SCAN calculation of a crystal of TlSe2 relaxed with PBEsol, from Alexandria via LeMat-Bulk.

The space group is Pa-3 (No. 205) and the conventional cell measures 7.060, 7.060 and 7.060 Å, with angles of 90.00, 90.00 and 90.00 degrees. Symmetry generates all atoms from Tl at (0.000, 0.000, 0.000) and Se at (0.095, 0.595, 0.905).

The value obtained for the total moment is 0.0 μB/f.u. The calculated total energy is -452.10 eV per cell. For the excess energy over the best structure of this formula in the dataset, the calculation gives 0.009 eV per formula unit.

Record 7
The following is a meta-GGA SCAN calculation of a crystal of Tl5Se relaxed with PBEsol, from Alexandria via LeMat-Bulk.

The space group is Cm (No. 8) and the conventional cell measures 11.818, 3.862 and 7.728 Å, with angles of 90.00, 110.17 and 90.00 degrees. Symmetry generates all atoms from Tl at (0.000, 0.000, 0.000), Tl at (0.005, 0.000, 0.445), Tl at (0.181, 0.500, 0.828), Tl at (0.198, 0.500, 0.304), Tl at (0.352, 0.000, 0.653) and Se at (0.337, 0.000, 0.135).

The value obtained for the total moment is 0.0 μB/f.u. The calculated total energy is -765.22 eV per cell.

Record 8
The following is a meta-GGA SCAN calculation of a crystal of TlSe2 relaxed with PBEsol, from Alexandria via LeMat-Bulk.

The space group is Cmcm (No. 63) and the conventional cell measures 4.862, 11.553 and 5.809 Å, with angles of 90.00, 90.00 and 90.00 degrees. Symmetry generates all atoms from Tl at (0.000, 0.193, 0.250), Se at (0.000, 0.089, 0.750) and Se at (0.000, 0.483, 0.250).

The value obtained for the total moment is 0.0 μB/f.u. The calculated total energy is -451.48 eV per cell. For the excess energy over the best structure of this formula in the dataset, the calculation gives 0.164 eV per formula unit.

Record 9
The following is a meta-GGA SCAN calculation of a crystal of TlSe2 relaxed with PBEsol, from Alexandria via LeMat-Bulk.

The space group is Cm (No. 8) and the conventional cell measures 14.148, 3.880 and 6.740 Å, with angles of 90.00, 117.84 and 90.00 degrees. Symmetry generates all atoms from Tl at (0.000, 0.000, 0.000), Tl at (0.161, 0.500, 0.468), Se at (0.246, 0.000, 0.073), Se at (0.315, 0.000, 0.811), Se at (0.368, 0.500, 0.349) and Se at (0.487, 0.000, 0.617).

The value obtained for the total moment is 0.0 μB/f.u. The calculated total energy is -452.14 eV per cell. For the excess energy over the best structure of this formula in the dataset, the calculation gives 0.000 eV per formula unit.

Record 10
The following is a meta-GGA SCAN calculation of a crystal of TlSe2 relaxed with PBEsol, from Alexandria via LeMat-Bulk.

The space group is I4/mcm (No. 140) and the conventional cell measures 6.280, 6.280 and 7.971 Å, with angles of 90.00, 90.00 and 90.00 degrees. Symmetry generates all atoms from Tl at (0.000, 0.000, 0.250) and Se at (0.130, 0.370, 0.000).

The value obtained for the total moment is 0.0 μB/f.u. The calculated total energy is -451.98 eV per cell. For the excess energy over the best structure of this formula in the dataset, the calculation gives 0.040 eV per formula unit.

Record 11
The following is a meta-GGA SCAN calculation of a crystal of Tl5Se4 relaxed with PBEsol, from Alexandria via LeMat-Bulk.

The space group is P6_3/mcm (No. 193) and the conventional cell measures 8.4690, 8.4690 and 7.9240 Å, with angles of 90.00, 90.00 and 120.00 degrees. Symmetry generates all atoms from Tl at (0.0000, 0.2545, 0.2500), Tl at (0.3333, 0.6667, 0.0000), Se at (0.0000, 0.0000, 0.0000) and Se at (0.0000, 0.4066, 0.7500).

The value obtained for the total moment is 0.0 μB/f.u. The calculated total energy is -888.67 eV per cell.

Record 12
The following is a meta-GGA SCAN calculation of a crystal of TlSe2 relaxed with PBEsol, from Alexandria via LeMat-Bulk.

The space group is P6_3/mmc (No. 194) and the conventional cell measures 4.6298, 4.6298 and 8.4876 Å, with angles of 90.00, 90.00 and 120.00 degrees. Symmetry generates all atoms from Tl at (0.0000, 0.0000, 0.2500) and Se at (0.3333, 0.6667, 0.0226).

The value obtained for the total moment is 0.0 μB/f.u. The calculated total energy is -224.68 eV per cell. For the excess energy over the best structure of this formula in the dataset, the calculation gives 0.695 eV per formula unit.